Computed, not measured: a relaxed AuBrCl3 crystal at the GGA-PBE level of DFT.

Cell lengths 5.012, 5.012, 5.012 Å; angles 90.00, 90.00, 90.00 degrees
Atoms (fractional coordinates):
Au: 0.000 0.000 0.000
Br: 0.500 0.500 0.500
Cl: 0.000 0.000 0.500
Cl: 0.000 0.500 0.000
Cl: 0.500 0.000 0.000

Computed properties:
- V: 25.2 Å³ per atom
- DFT total energy: -1.89 eV per atom
- Distance to the lowest polymorph of the same formula: 0.293 eV/atom
- Symmetry: Pm-3m (221)
- Crystal system: cubic